{"formula": "Ac2Pm2Er", "functional": "PBE", "state": "relaxed", "lattice_angstrom": [[5.645, -3.543, 0.000], [5.645, 3.543, 0.000], [-5.410, 0.000, 9.637]], "species": ["Ac", "Ac", "Ac", "Ac", "Pm", "Pm", "Pm", "Pm", "Er", "Er"], "fractional_positions": [[0.195, 0.200, 0.349], [0.200, 0.195, 0.849], [0.800, 0.805, 0.151], [0.805, 0.800, 0.651], [0.227, 0.770, 0.000], [0.230, 0.773, 0.500], [0.770, 0.227, 0.500], [0.773, 0.230, 0.000], [0.499, 0.501, 0.250], [0.501, 0.499, 0.750]], "delta_e_f_mev_per_atom": 219}

{"formula": "Dy3Ga4Au4", "functional": "PBE", "state": "relaxed", "lattice_angstrom": [[3.578, 0.000, 0.000], [0.001, 4.503, 0.000], [1.769, 2.247, 14.067]], "species": ["Dy", "Dy", "Dy", "Ga", "Ga", "Ga", "Ga", "Au", "Au", "Au", "Au"], "fractional_positions": [[0.000, 0.000, 0.000], [0.142, 0.643, 0.716], [0.858, 0.357, 0.284], [0.259, 0.259, 0.480], [0.405, 0.905, 0.189], [0.595, 0.095, 0.811], [0.741, 0.741, 0.520], [0.314, 0.812, 0.373], [0.452, 0.450, 0.099], [0.548, 0.550, 0.901], [0.686, 0.188, 0.627]], "delta_e_f_mev_per_atom": -697}

{"formula": "Dy3ErSc2", "functional": "PBE", "state": "relaxed", "lattice_angstrom": [[7.150, -4.822, 0.000], [7.150, 4.822, 0.000], [0.000, 0.000, 5.421]], "species": ["Dy", "Dy", "Dy", "Dy", "Dy", "Dy", "Er", "Er", "Sc", "Sc", "Sc", "Sc"], "fractional_positions": [[0.094, 0.906, 0.750], [0.112, 0.376, 0.250], [0.376, 0.112, 0.750], [0.624, 0.888, 0.250], [0.888, 0.624, 0.750], [0.906, 0.094, 0.250], [0.279, 0.721, 0.250], [0.721, 0.279, 0.750], [0.300, 0.489, 0.750], [0.489, 0.300, 0.250], [0.511, 0.700, 0.750], [0.700, 0.511, 0.250]], "delta_e_f_mev_per_atom": 298}

{"formula": "KInHgBr6", "functional": "PBE", "state": "relaxed", "lattice_angstrom": [[7.224, 0.000, 0.000], [-3.612, 6.256, 0.000], [0.000, 0.000, 14.547]], "species": ["K", "K", "In", "In", "Hg", "Hg", "Br", "Br", "Br", "Br", "Br", "Br", "Br", "Br", "Br", "Br", "Br", "Br"], "fractional_positions": [[0.000, 0.000, 0.000], [0.000, 0.000, 0.500], [0.333, 0.667, 0.250], [0.667, 0.333, 0.750], [0.333, 0.667, 0.750], [0.667, 0.333, 0.250], [0.014, 0.377, 0.140], [0.014, 0.637, 0.360], [0.363, 0.377, 0.360], [0.363, 0.986, 0.140], [0.377, 0.014, 0.640], [0.377, 0.363, 0.860], [0.623, 0.637, 0.140], [0.623, 0.986, 0.360], [0.637, 0.014, 0.860], [0.637, 0.623, 0.640], [0.986, 0.363, 0.640], [0.986, 0.623, 0.860]], "raw_formation_energy_ev_per_atom": -0.8906}

{"formula": "LiTc3", "functional": "PBE", "state": "relaxed", "lattice_angstrom": [[5.331, 0.000, 0.000], [-2.665, 4.617, 0.000], [0.000, 0.000, 4.459]], "species": ["Li", "Li", "Tc", "Tc", "Tc", "Tc", "Tc", "Tc"], "fractional_positions": [[0.333, 0.667, 0.250], [0.667, 0.333, 0.750], [0.169, 0.337, 0.750], [0.169, 0.831, 0.750], [0.337, 0.169, 0.250], [0.663, 0.831, 0.750], [0.831, 0.169, 0.250], [0.831, 0.663, 0.250]], "delta_e_f_mev_per_atom": 253}

{"formula": "SmPu2CuN4", "functional": "PBE", "state": "relaxed", "lattice_angstrom": [[1.734, -5.624, 0.000], [1.734, 5.624, 0.000], [0.000, 0.000, 11.444]], "species": ["Sm", "Sm", "Pu", "Pu", "Pu", "Pu", "Cu", "Cu", "N", "N", "N", "N", "N", "N", "N", "N"], "fractional_positions": [[0.103, 0.897, 0.750], [0.897, 0.103, 0.250], [0.370, 0.630, 0.556], [0.370, 0.630, 0.944], [0.630, 0.370, 0.056], [0.630, 0.370, 0.444], [0.164, 0.836, 0.250], [0.836, 0.164, 0.750], [0.000, 0.000, 0.000], [0.000, 0.000, 0.500], [0.266, 0.734, 0.110], [0.266, 0.734, 0.390], [0.448, 0.552, 0.750], [0.552, 0.448, 0.250], [0.734, 0.266, 0.610], [0.734, 0.266, 0.890]], "raw_formation_energy_ev_per_atom": -0.9997}

{"formula": "Ba2UAu2Se6", "functional": "PBE", "state": "relaxed", "lattice_angstrom": [[7.763, 0.000, 0.000], [-3.882, 6.723, 0.000], [0.000, 0.000, 6.720]], "species": ["Ba", "Ba", "U", "Au", "Au", "Se", "Se", "Se", "Se", "Se", "Se"], "fractional_positions": [[0.333, 0.667, 0.265], [0.667, 0.333, 0.735], [0.000, 0.000, 0.000], [0.333, 0.667, 0.776], [0.667, 0.333, 0.224], [0.069, 0.303, 0.750], [0.234, 0.931, 0.750], [0.303, 0.234, 0.250], [0.697, 0.766, 0.750], [0.766, 0.069, 0.250], [0.931, 0.697, 0.250]], "raw_formation_energy_ev_per_atom": -0.9720}

{"formula": "NbCdCu", "functional": "PBE", "state": "relaxed", "lattice_angstrom": [[4.371, 0.000, 0.000], [0.000, 3.282, 0.000], [-2.135, 0.000, 7.142]], "species": ["Nb", "Nb", "Cd", "Cd", "Cu", "Cu"], "fractional_positions": [[0.000, 0.000, 0.000], [0.500, 0.500, 0.000], [0.178, 0.500, 0.357], [0.822, 0.500, 0.643], [0.348, 0.000, 0.693], [0.652, 0.000, 0.307]], "delta_e_f_mev_per_atom": 124}

{"formula": "LaPm2Ir", "functional": "PBE", "state": "relaxed", "lattice_angstrom": [[1.956, 1.130, 10.740], [-1.956, 1.130, 10.740], [0.000, -2.259, 10.740]], "species": ["La", "Pm", "Pm", "Ir"], "fractional_positions": [[0.000, 0.000, 0.000], [0.115, 0.115, 0.115], [0.885, 0.885, 0.885], [0.500, 0.500, 0.500]], "delta_e_f_mev_per_atom": -139}

{"formula": "TlCuSb2", "functional": "PBE", "state": "relaxed", "lattice_angstrom": [[2.044, -2.643, 0.000], [2.044, 2.643, 0.000], [0.000, 0.000, 9.354]], "species": ["Tl", "Cu", "Sb", "Sb"], "fractional_positions": [[0.000, 0.000, 0.000], [0.000, 0.000, 0.500], [0.500, 0.500, 0.313], [0.500, 0.500, 0.687]], "raw_formation_energy_ev_per_atom": 0.1259}

{"formula": "Tb4TlTeC", "functional": "PBE", "state": "relaxed", "lattice_angstrom": [[3.425, -7.905, 0.000], [3.425, 7.905, 0.000], [0.000, 0.000, 6.870]], "species": ["Tb", "Tb", "Tb", "Tb", "Tb", "Tb", "Tb", "Tb", "Tl", "Tl", "Te", "Te", "C", "C"], "fractional_positions": [[0.000, 0.500, 0.000], [0.000, 0.500, 0.500], [0.090, 0.910, 0.750], [0.406, 0.594, 0.750], [0.500, 0.000, 0.000], [0.500, 0.000, 0.500], [0.594, 0.406, 0.250], [0.910, 0.090, 0.250], [0.110, 0.890, 0.250], [0.890, 0.110, 0.750], [0.391, 0.609, 0.250], [0.609, 0.391, 0.750], [0.248, 0.752, 0.750], [0.752, 0.248, 0.250]], "raw_formation_energy_ev_per_atom": -0.6031}